Density functional theory data (GGA-PBEsol) for an optimized crystal structure of Ca3TlCu.

Cell: 5.4224 5.4224 5.4224 Å, 90.00 90.00 90.00°
With the nearest neighbours (Å) after each atom.
Fractional coordinates of all 5 atoms:
Ca (0.0000, 0.0000, 0.5000)  2 Cu 2.71
Ca (0.0000, 0.5000, 0.0000)  2 Cu 2.71
Ca (0.5000, 0.0000, 0.0000)  2 Cu 2.71
Tl (0.5000, 0.5000, 0.5000)  12 Ca 3.83
Cu (0.0000, 0.0000, 0.0000)  6 Ca 2.71

The value obtained for the size of the total moment is 0.00 Bohr magnetons per cell. The energy of formation from the pure elements comes out at -0.0235 eV per atom. The space-group type is Pm-3m.